DFT (GGA+U) results for crystalline UMnFe2O6 at its relaxed geometry.

Output
Space-group type: P1
Total energy in eV/atom: -8.113
M_tot in μB/cell: 12.9

Structure (CIF):
```
data_UMnFe2O6
_chemical_formula_sum 'U1 Mn1 Fe2 O6'
_space_group_name_H-M_alt 'P 1'
_space_group_IT_number 1
_cell_length_a 5.4343
_cell_length_b 5.4527
_cell_length_c 5.7572
_cell_angle_alpha 62.67
_cell_angle_beta 62.69
_cell_angle_gamma 60.27
loop_
_space_group_symop_operation_xyz
'x,y,z'
loop_
_atom_site_label
_atom_site_fract_x
_atom_site_fract_y
_atom_site_fract_z
_atom_site_occupancy
U1 0.0000 0.0000 0.0000 1
Mn1 0.5047 0.5092 0.4774 1
Fe1 0.2953 0.3180 0.0922 1
Fe2 0.7968 0.7943 0.6114 1
O1 0.1040 0.3911 0.7968 1
O2 0.2039 0.9114 0.2741 1
O3 0.3932 0.7220 0.7864 1
O4 0.6013 0.2180 0.2675 1
O5 0.7334 0.0905 0.7797 1
O6 0.8978 0.6158 0.2887 1
```